(1)
Material: LiHfAl
Method: DFT, PBE
State: relaxed

Calculated values
Energy above the most stable polymorph in this dataset in eV/f.u.: 0.20
SG: P-6m2 (187)
Crystal system: hexagonal
Energy relative to the elements in eV/atom: -0.11

Lattice parameters (Å, degrees): 4.5180 4.5180 3.0303 90.00 90.00 120.00
Element x y z (fractional)
1 Al 0.0000 0.0000 0.0000
2 Li 0.6667 0.3333 0.0000
3 Hf 0.3333 0.6667 0.5000



(2)
Material: DyZn9Co2
Method: DFT, PBE
State: relaxed

Calculated values
Energy above the most stable polymorph in this dataset in eV/f.u.: 0.88
SG: P6/mmm (191)
Crystal system: hexagonal
Energy relative to the elements in eV/atom: -0.09

Lattice parameters (Å, degrees): 2.9925 8.4292 8.4292 120.00 90.00 90.00
Element x y z (fractional)
1 Zn 0.5000 0.8098 0.6195
2 Zn 0.0000 0.0000 0.5000
3 Zn 0.5000 0.3805 0.1902
4 Zn 0.5000 0.6195 0.8098
5 Zn 0.5000 0.1902 0.3805
6 Zn 0.5000 0.8098 0.1902
7 Zn 0.0000 0.5000 0.5000
8 Zn 0.5000 0.1902 0.8098
9 Zn 0.0000 0.5000 0.0000
10 Co 0.0000 0.3333 0.6667
11 Co 0.0000 0.6667 0.3333
12 Dy 0.0000 0.0000 0.0000



(3)
Material: Cs2PaSbSe5
Method: DFT, PBE
State: relaxed

Calculated values
SG: Cmc2_1 (36)
Formation energy from raw total energies in eV per atom: -1.040
Crystal system: orthorhombic

Lattice parameters (Å, degrees): 4.4825 10.2485 16.0847 90.00 90.00 102.63
Element x y z (fractional)
1 Se 0.7165 0.4329 0.1396
2 Se 0.4931 0.9863 0.2891
3 Se 0.3185 0.6369 0.4161
4 Se 0.3331 0.6661 0.9904
5 Se 0.0692 0.1384 0.0534
6 Se 0.9308 0.8616 0.5534
7 Se 0.6815 0.3631 0.9161
8 Se 0.6669 0.3339 0.4904
9 Se 0.2835 0.5671 0.6396
10 Se 0.5069 0.0137 0.7891
11 Cs 0.8614 0.7228 0.8108
12 Cs 0.1386 0.2772 0.3108
13 Cs 0.1010 0.2020 0.6553
14 Cs 0.8990 0.7980 0.1553
15 Pa 0.7938 0.5877 0.5324
16 Pa 0.2062 0.4123 0.0324
17 Sb 0.5481 0.0962 0.9369
18 Sb 0.4519 0.9038 0.4369



(4)
Material: VNiRuRh
Method: DFT, PBE
State: relaxed

Calculated values
Energy above the most stable polymorph in this dataset in eV/f.u.: 0.00
SG: Pmmm (47)
Crystal system: orthorhombic
Energy relative to the elements in eV/atom: -0.24

Lattice parameters (Å, degrees): 3.5665 3.7739 3.8640 90.00 90.00 90.00
Element x y z (fractional)
1 Ni 0.5000 0.5000 0.0000
2 V 0.5000 0.0000 0.5000
3 Ru 0.0000 0.5000 0.5000
4 Rh 0.0000 0.0000 0.0000



(5)
Material: SrGaBi2
Method: DFT, PBE
State: relaxed

Calculated values
SG: P4/nmm (129)
Crystal system: tetragonal
Energy relative to the elements in eV/atom: -0.39

Lattice parameters (Å, degrees): 4.8802 4.8802 10.4402 90.00 90.00 90.00
Element x y z (fractional)
1 Bi 0.5000 0.5000 0.5000
2 Bi 0.0000 0.0000 0.5000
3 Bi 0.5000 0.0000 0.1655
4 Bi 0.0000 0.5000 0.8345
5 Ga 0.5000 0.5000 0.0000
6 Ga 0.0000 0.0000 0.0000
7 Sr 0.5000 0.0000 0.7477
8 Sr 0.0000 0.5000 0.2523



(6)
Material: ErMn4
Method: DFT, PBE
State: relaxed

Calculated values
SG: Pm-3m (221)
Crystal system: cubic
Energy relative to the elements in eV/atom: 1.72

Lattice parameters (Å, degrees): 4.8221 4.8221 4.8221 90.00 90.00 90.00
Each line ends with the local moment (μB).
Element x y z (fractional)
1 Er 0.5000 0.5000 0.5000  -0.43
2 Mn 0.0000 0.0000 0.0000  4.22
3 Mn 0.5000 0.5000 0.0000  3.35
4 Mn 0.5000 0.0000 0.5000  3.35
5 Mn 0.0000 0.5000 0.5000  3.35



(7)
Material: Th4Tl5Pb
Method: DFT, PBE
State: relaxed

Calculated values
SG: Pmmn (59)
Crystal system: orthorhombic
Energy relative to the elements in eV/atom: 0.12

Lattice parameters (Å, degrees): 8.1404 10.8195 7.2023 90.00 90.00 90.00
Element x y z (fractional)
1 Th 0.1842 0.5000 0.2455
2 Th 0.4964 0.3202 0.0000
3 Th 0.1842 0.5000 0.7545
4 Th 0.8158 0.0000 0.7455
5 Th 0.5036 0.8202 0.5000
6 Th 0.5036 0.1798 0.5000
7 Th 0.4964 0.6798 0.0000
8 Th 0.8158 0.0000 0.2545
9 Tl 0.1706 0.1942 0.2117
10 Tl 0.1706 0.8058 0.7883
11 Tl 0.8294 0.3058 0.7117
12 Tl 0.8294 0.6942 0.2883
13 Tl 0.8294 0.3058 0.2883
14 Tl 0.8294 0.6942 0.7117
15 Tl 0.8334 0.5000 0.0000
16 Tl 0.1706 0.8058 0.2117
17 Tl 0.1666 0.0000 0.5000
18 Tl 0.1706 0.1942 0.7883
19 Pb 0.5308 0.5000 0.5000
20 Pb 0.4692 0.0000 0.0000



(8)
Material: PuTlGe2Br8
Method: DFT, PBE
State: relaxed

Calculated values
SG: P-1 (2)
Formation energy from raw total energies in eV per atom: -0.896
Crystal system: triclinic

Lattice parameters (Å, degrees): 7.2196 6.7897 9.2484 87.72 85.87 86.40
Each line ends with the local moment (μB).
Element x y z (fractional)
1 Br 0.6766 0.7549 0.0298  -0.02
2 Br 0.3632 0.2717 0.5497  0.00
3 Br 0.8511 0.2643 0.2213  -0.03
4 Br 0.3234 0.2451 0.9702  -0.02
5 Br 0.8213 0.2388 0.7834  -0.03
6 Br 0.1787 0.7612 0.2166  -0.03
7 Br 0.1489 0.7357 0.7787  -0.03
8 Br 0.6368 0.7283 0.4503  0.00
9 Ge 0.5376 0.5408 0.2481  0.01
10 Ge 0.4624 0.4592 0.7519  0.01
11 Tl 0.0000 0.0000 0.5000  0.00
12 Pu 0.0000 0.0000 0.0000  5.08



(9)
Material: TiBRuRh2
Method: DFT, PBE
State: relaxed

Calculated values
SG: P4/mmm (123)
Crystal system: tetragonal
Energy relative to the elements in eV/atom: -0.46

Lattice parameters (Å, degrees): 4.0537 4.0537 4.0990 90.00 90.00 90.00
Element x y z (fractional)
1 B 0.0000 0.0000 0.0000
2 Rh 0.0000 0.5000 0.0000
3 Rh 0.5000 0.0000 0.0000
4 Ru 0.0000 0.0000 0.5000
5 Ti 0.5000 0.5000 0.5000



(10)
Material: Ca2Cd3Rh
Method: DFT, PBE
State: relaxed

Calculated values
SG: C2/m (12)
Crystal system: monoclinic
Energy relative to the elements in eV/atom: -0.35

Lattice parameters (Å, degrees): 5.8035 5.8035 5.8037 90.30 120.17 119.49
Element x y z (fractional)
1 Cd 0.0000 0.0000 0.5000
2 Cd 0.5000 0.0000 0.5000
3 Cd 0.5000 0.5000 0.5000
4 Ca 0.2568 0.6294 0.8862
5 Ca 0.7432 0.3706 0.1138
6 Rh 0.0000 0.0000 0.0000



(11)
Material: Sr3MgAg3
Method: DFT, PBE
State: relaxed

Calculated values
SG: C2/m (12)
Crystal system: monoclinic
Energy relative to the elements in eV/atom: -0.28

Lattice parameters (Å, degrees): 4.6650 6.5792 15.2151 84.79 81.18 69.24
Element x y z (fractional)
1 Sr 0.3965 0.2849 0.9222
2 Sr 0.2577 0.2547 0.2300
3 Sr 0.7423 0.7453 0.7700
4 Sr 0.5193 0.3410 0.6203
5 Sr 0.4807 0.6590 0.3797
6 Sr 0.6035 0.7151 0.0778
7 Ag 0.8746 0.7080 0.5429
8 Ag 0.1062 0.8649 0.9226
9 Ag 0.9558 0.8511 0.2373
10 Ag 0.0442 0.1489 0.7627
11 Ag 0.1254 0.2920 0.4571
12 Ag 0.8938 0.1351 0.0774
13 Mg 0.7592 0.0687 0.4128
14 Mg 0.2408 0.9313 0.5872



(12)
Material: K2RbNaSe
Method: DFT, PBE
State: relaxed

Calculated values
Energy above the most stable polymorph in this dataset in eV/f.u.: 0.00
SG: P4/mmm (123)
Formation energy from raw total energies in eV per atom: -0.567
Crystal system: tetragonal

Lattice parameters (Å, degrees): 6.4042 6.4042 6.7347 90.00 90.00 90.00
Element x y z (fractional)
1 Se 0.0000 0.0000 0.0000
2 Rb 0.0000 0.0000 0.5000
3 K 0.5000 0.0000 0.0000
4 K 0.0000 0.5000 0.0000
5 Na 0.5000 0.5000 0.5000



> Number 7 is which compound?

Th4Tl5Pb



Please write out number 2 again, unchanged.
Material: DyZn9Co2
Method: DFT, PBE
State: relaxed

Calculated values
Energy above the most stable polymorph in this dataset in eV/f.u.: 0.88
SG: P6/mmm (191)
Crystal system: hexagonal
Energy relative to the elements in eV/atom: -0.09

Lattice parameters (Å, degrees): 2.9925 8.4292 8.4292 120.00 90.00 90.00
Element x y z (fractional)
1 Zn 0.5000 0.8098 0.6195
2 Zn 0.0000 0.0000 0.5000
3 Zn 0.5000 0.3805 0.1902
4 Zn 0.5000 0.6195 0.8098
5 Zn 0.5000 0.1902 0.3805
6 Zn 0.5000 0.8098 0.1902
7 Zn 0.0000 0.5000 0.5000
8 Zn 0.5000 0.1902 0.8098
9 Zn 0.0000 0.5000 0.0000
10 Co 0.0000 0.3333 0.6667
11 Co 0.0000 0.6667 0.3333
12 Dy 0.0000 0.0000 0.0000